DFT (PBE-GGA) results for a relaxed Y2ErTm3As6 crystal.

```
data_Y2ErTm3As6
_cell_length_a 17.809
_cell_length_b 4.087
_cell_length_c 8.171
_cell_angle_alpha 90.00
_cell_angle_beta 103.23
_cell_angle_gamma 90.00
_symmetry_space_group_name_H-M 'C 1 2/m 1'
_symmetry_Int_Tables_number 12
_symmetry_space_group_name_Hall '-C 2y'
loop_
_atom_site_label
_atom_site_type_symbol
_atom_site_fract_x
_atom_site_fract_y
_atom_site_fract_z
Y1 Y 0.166 0.000 0.333
Er1 Er 0.000 0.500 0.000
Tm1 Tm 0.000 0.500 0.500
Tm2 Tm 0.167 0.000 0.833
As1 As 0.001 0.000 0.750
As2 As 0.166 0.500 0.586
As3 As 0.167 0.500 0.080
```

## Properties
Volume   579 Å³/cell
Formation energy   -1.524 eV per atom
Size of the total moment   0.00 μB/atom

***

DFT (PBE-GGA) results for a relaxed CsNa2CdAu crystal.

```
data_CsNa2CdAu
_cell_length_a 5.760
_cell_length_b 5.760
_cell_length_c 6.785
_cell_angle_alpha 90.00
_cell_angle_beta 90.00
_cell_angle_gamma 90.00
_symmetry_space_group_name_H-M 'P 4/m m m'
_symmetry_Int_Tables_number 123
_symmetry_space_group_name_Hall '-P 4 2'
loop_
_atom_site_label
_atom_site_type_symbol
_atom_site_fract_x
_atom_site_fract_y
_atom_site_fract_z
Cs1 Cs 0.000 0.000 0.000
Na1 Na 0.000 0.500 0.500
Cd1 Cd 0.500 0.500 0.000
Au1 Au 0.000 0.000 0.500
```

## Properties
Volume   225 Å³/cell
Formation energy   -0.014 eV per atom
Size of the total moment   0.00 μB/atom

***

DFT (PBE-GGA) results for a relaxed SrPmHo4S8 crystal.

```
data_SrPmHo4S8
_cell_length_a 8.1394
_cell_length_b 8.1394
_cell_length_c 20.1857
_cell_angle_alpha 90.00
_cell_angle_beta 90.00
_cell_angle_gamma 120.00
_symmetry_space_group_name_H-M 'R 3 m'
_symmetry_Int_Tables_number 160
_symmetry_space_group_name_Hall 'R 3 -2"'
loop_
_atom_site_label
_atom_site_type_symbol
_atom_site_fract_x
_atom_site_fract_y
_atom_site_fract_z
Sr1 Sr 0.0000 0.0000 0.0000
Pm1 Pm 0.0000 0.0000 0.6282
Ho1 Ho 0.0000 0.0000 0.2516
Ho2 Ho 0.1691 0.3381 0.4590
S1 S 0.0000 0.0000 0.3840
S2 S 0.0000 0.0000 0.8615
S3 S 0.0333 0.5167 0.3840
S4 S 0.1740 0.3480 0.2048
```

## Properties
Volume   1158 Å³/cell
Final energy   -6.111 eV per atom
Size of the total moment   0.00 μB/atom

***

DFT (PBE-GGA) results for a relaxed MnZnCo2 crystal.

```
data_MnZnCo2
_cell_length_a 2.5300
_cell_length_b 2.5300
_cell_length_c 24.6212
_cell_angle_alpha 90.00
_cell_angle_beta 90.00
_cell_angle_gamma 120.00
_symmetry_space_group_name_H-M 'R -3 m'
_symmetry_Int_Tables_number 166
_symmetry_space_group_name_Hall '-R 3 2"'
loop_
_atom_site_label
_atom_site_type_symbol
_atom_site_fract_x
_atom_site_fract_y
_atom_site_fract_z
Mn1 Mn 0.0000 0.0000 0.0000
Zn1 Zn 0.0000 0.0000 0.5000
Co1 Co 0.0000 0.0000 0.2543
```

## Properties
Volume   136 Å³/cell
Formation energy   0.071 eV per atom
Size of the total moment   0.69 μB/atom

***

DFT (PBE-GGA) results for a relaxed TmTlCu crystal.

```
data_TmTlCu
_cell_length_a 4.254
_cell_length_b 4.254
_cell_length_c 7.495
_cell_angle_alpha 90.00
_cell_angle_beta 90.00
_cell_angle_gamma 90.00
_symmetry_space_group_name_H-M 'P 4/n m m'
_symmetry_Int_Tables_number 129
loop_
_symmetry_equiv_pos_as_xyz
'x,y,z'
'-x,-y,-z'
'-y+1/2,x,z'
'y+1/2,-x,-z'
'-x+1/2,-y+1/2,z'
'x+1/2,y+1/2,-z'
'y,-x+1/2,z'
'-y,x+1/2,-z'
'x+1/2,-y,-z'
'-x+1/2,y,z'
'-y,-x,-z'
'y,x,z'
'-x,y+1/2,-z'
'x,-y+1/2,z'
'y+1/2,x+1/2,-z'
'-y+1/2,-x+1/2,z'
loop_
_atom_site_label
_atom_site_type_symbol
_atom_site_fract_x
_atom_site_fract_y
_atom_site_fract_z
Tm1 Tm 0.250 0.250 0.149
Tl1 Tl 0.250 0.750 0.500
Cu1 Cu 0.250 0.250 0.772
```

## Properties
Volume   136 Å³/cell
Formation energy   -0.074 eV per atom
Size of the total moment   0.00 μB/atom

***

DFT (PBE-GGA) results for a relaxed PrScBiSe crystal.

```
data_PrScBiSe
_cell_length_a 4.1438
_cell_length_b 4.1438
_cell_length_c 22.4921
_cell_angle_alpha 90.00
_cell_angle_beta 90.00
_cell_angle_gamma 120.00
_symmetry_space_group_name_H-M 'R 3 m'
_symmetry_Int_Tables_number 160
_symmetry_space_group_name_Hall 'R 3 -2"'
loop_
_atom_site_label
_atom_site_type_symbol
_atom_site_fract_x
_atom_site_fract_y
_atom_site_fract_z
Pr1 Pr 0.0000 0.0000 0.0000
Sc1 Sc 0.0000 0.0000 0.1611
Bi1 Bi 0.0000 0.0000 0.5706
Se1 Se 0.0000 0.0000 0.7563
```

## Properties
Volume   334 Å³/cell
Final energy   -5.770 eV per atom
Size of the total moment   0.14 μB/atom

***

DFT (PBE-GGA) results for a relaxed Cu2PAu crystal.

```
data_Cu2PAu
_cell_length_a 3.933
_cell_length_b 3.933
_cell_length_c 3.667
_cell_angle_alpha 90.00
_cell_angle_beta 90.00
_cell_angle_gamma 90.00
_symmetry_space_group_name_H-M 'P 4/m m m'
_symmetry_Int_Tables_number 123
_symmetry_space_group_name_Hall '-P 4 2'
loop_
_atom_site_label
_atom_site_type_symbol
_atom_site_fract_x
_atom_site_fract_y
_atom_site_fract_z
Cu1 Cu 0.000 0.500 0.000
P1 P 0.000 0.000 0.500
Au1 Au 0.500 0.500 0.500
```

## Properties
Volume   57 Å³/cell
Formation energy   0.147 eV per atom
Size of the total moment   0.00 μB/atom

***

DFT (PBE-GGA) results for a relaxed RbNa2BeBi crystal.

```
data_RbNa2BeBi
_cell_length_a 6.169
_cell_length_b 6.169
_cell_length_c 5.162
_cell_angle_alpha 90.00
_cell_angle_beta 90.00
_cell_angle_gamma 90.00
_symmetry_space_group_name_H-M 'P 4/m m m'
_symmetry_Int_Tables_number 123
_symmetry_space_group_name_Hall '-P 4 2'
loop_
_atom_site_label
_atom_site_type_symbol
_atom_site_fract_x
_atom_site_fract_y
_atom_site_fract_z
Rb1 Rb 0.000 0.000 0.000
Na1 Na 0.000 0.500 0.500
Be1 Be 0.500 0.500 0.000
Bi1 Bi 0.500 0.500 0.500
```

## Properties
Volume   196 Å³/cell
Formation energy   0.270 eV per atom
Size of the total moment   0.00 μB/atom

***

DFT (PBE-GGA) results for a relaxed LuNiSbPd crystal.

```
data_LuNiSbPd
_cell_length_a 6.582
_cell_length_b 6.582
_cell_length_c 6.582
_cell_angle_alpha 90.00
_cell_angle_beta 90.00
_cell_angle_gamma 90.00
_symmetry_space_group_name_H-M 'F -4 3 m'
_symmetry_Int_Tables_number 216
_symmetry_space_group_name_Hall 'F -4 2 3'
loop_
_atom_site_label
_atom_site_type_symbol
_atom_site_fract_x
_atom_site_fract_y
_atom_site_fract_z
Lu1 Lu 0.000 0.000 0.000
Ni1 Ni 0.250 0.250 0.250
Sb1 Sb 0.000 0.000 0.500
Pd1 Pd 0.250 0.250 0.750
```

## Properties
Volume   285 Å³/cell
Final energy   -5.555 eV per atom
Size of the total moment   0.00 μB/atom

***

DFT (PBE-GGA) results for a relaxed ErZrNiAg crystal.

```
data_ErZrNiAg
_cell_length_a 6.823
_cell_length_b 6.823
_cell_length_c 6.823
_cell_angle_alpha 90.00
_cell_angle_beta 90.00
_cell_angle_gamma 90.00
_symmetry_space_group_name_H-M 'F -4 3 m'
_symmetry_Int_Tables_number 216
_symmetry_space_group_name_Hall 'F -4 2 3'
loop_
_atom_site_label
_atom_site_type_symbol
_atom_site_fract_x
_atom_site_fract_y
_atom_site_fract_z
Er1 Er 0.000 0.000 0.000
Zr1 Zr 0.000 0.000 0.500
Ni1 Ni 0.250 0.250 0.750
Ag1 Ag 0.250 0.250 0.250
```

## Properties
Volume   318 Å³/cell
Formation energy   -0.168 eV per atom
Size of the total moment   0.00 μB/atom

***

DFT (PBE-GGA) results for a relaxed K7Rb12Zn crystal.

```
data_K7Rb12Zn
_cell_length_a 25.7460
_cell_length_b 25.7460
_cell_length_c 8.6261
_cell_angle_alpha 90.00
_cell_angle_beta 90.00
_cell_angle_gamma 120.00
_symmetry_space_group_name_H-M 'R -3 m'
_symmetry_Int_Tables_number 166
_symmetry_space_group_name_Hall '-R 3 2"'
loop_
_atom_site_label
_atom_site_type_symbol
_atom_site_fract_x
_atom_site_fract_y
_atom_site_fract_z
K1 K 0.0000 0.0000 0.0000
K2 K 0.0729 0.1458 0.3336
Rb1 Rb 0.0000 0.4104 0.0000
Rb2 Rb 0.1035 0.5517 0.5096
Zn1 Zn 0.0000 0.0000 0.5000
```

## Properties
Volume   4952 Å³/cell
Formation energy   0.052 eV per atom
Size of the total moment   0.00 μB/atom

***

DFT (PBE-GGA) results for a relaxed Li2UCl6 crystal.

```
data_Li2UCl6
_cell_length_a 6.4706
_cell_length_b 6.4706
_cell_length_c 6.0259
_cell_angle_alpha 90.00
_cell_angle_beta 90.00
_cell_angle_gamma 120.00
_symmetry_space_group_name_H-M 'P -3 1 m'
_symmetry_Int_Tables_number 162
_symmetry_space_group_name_Hall '-P 3 2'
loop_
_atom_site_label
_atom_site_type_symbol
_atom_site_fract_x
_atom_site_fract_y
_atom_site_fract_z
Li1 Li 0.3333 0.6667 0.0000
U1 U 0.0000 0.0000 0.5000
Cl1 Cl 0.0000 0.3314 0.7562
```

## Properties
Volume   218 Å³/cell
Final energy   -4.650 eV per atom
Size of the total moment   0.22 μB/atom

***

DFT (PBE-GGA) results for a relaxed SrFeHg2W crystal.

```
data_SrFeHg2W
_cell_length_a 5.408
_cell_length_b 5.408
_cell_length_c 4.561
_cell_angle_alpha 90.00
_cell_angle_beta 90.00
_cell_angle_gamma 90.00
_symmetry_space_group_name_H-M 'P 4/m m m'
_symmetry_Int_Tables_number 123
_symmetry_space_group_name_Hall '-P 4 2'
loop_
_atom_site_label
_atom_site_type_symbol
_atom_site_fract_x
_atom_site_fract_y
_atom_site_fract_z
Sr1 Sr 0.000 0.000 0.000
Fe1 Fe 0.500 0.500 0.000
Hg1 Hg 0.000 0.500 0.500
W1 W 0.500 0.500 0.500
```

## Properties
Volume   133 Å³/cell
Formation energy   0.611 eV per atom
Size of the total moment   0.41 μB/atom

***

DFT (PBE-GGA) results for a relaxed CsRb2PtAu crystal.

```
data_CsRb2PtAu
_cell_length_a 6.348
_cell_length_b 6.348
_cell_length_c 6.562
_cell_angle_alpha 90.00
_cell_angle_beta 90.00
_cell_angle_gamma 90.00
_symmetry_space_group_name_H-M 'P 4/m m m'
_symmetry_Int_Tables_number 123
_symmetry_space_group_name_Hall '-P 4 2'
loop_
_atom_site_label
_atom_site_type_symbol
_atom_site_fract_x
_atom_site_fract_y
_atom_site_fract_z
Cs1 Cs 0.000 0.000 0.000
Rb1 Rb 0.000 0.500 0.500
Pt1 Pt 0.000 0.000 0.500
Au1 Au 0.500 0.500 0.000
```

## Properties
Volume   264 Å³/cell
Formation energy   -0.020 eV per atom
Size of the total moment   0.00 μB/atom

***

DFT (PBE-GGA) results for a relaxed YTmTh2P4 crystal.

```
data_YTmTh2P4
_cell_length_a 6.998
_cell_length_b 4.077
_cell_length_c 7.065
_cell_angle_alpha 90.00
_cell_angle_beta 109.72
_cell_angle_gamma 90.00
_symmetry_space_group_name_H-M 'P 1 2/m 1'
_symmetry_Int_Tables_number 10
_symmetry_space_group_name_Hall '-P 2y'
loop_
_atom_site_label
_atom_site_type_symbol
_atom_site_fract_x
_atom_site_fract_y
_atom_site_fract_z
Y1 Y 0.000 0.000 0.000
Tm1 Tm 0.000 0.500 0.500
Th1 Th 0.500 0.000 0.500
Th2 Th 0.500 0.500 0.000
P1 P 0.240 0.000 0.745
P2 P 0.242 0.500 0.249
```

## Properties
Volume   190 Å³/cell
Formation energy   -1.581 eV per atom
Size of the total moment   0.00 μB/atom

***

DFT (PBE-GGA) results for a relaxed Ca5Ag4Hg crystal.

```
data_Ca5Ag4Hg
_cell_length_a 3.751
_cell_length_b 3.751
_cell_length_c 18.404
_cell_angle_alpha 90.00
_cell_angle_beta 90.00
_cell_angle_gamma 90.00
_symmetry_space_group_name_H-M 'P 4/m m m'
_symmetry_Int_Tables_number 123
_symmetry_space_group_name_Hall '-P 4 2'
loop_
_atom_site_label
_atom_site_type_symbol
_atom_site_fract_x
_atom_site_fract_y
_atom_site_fract_z
Ca1 Ca 0.000 0.000 0.000
Ca2 Ca 0.000 0.000 0.197
Ca3 Ca 0.000 0.000 0.397
Ag1 Ag 0.500 0.500 0.099
Ag2 Ag 0.500 0.500 0.296
Hg1 Hg 0.500 0.500 0.500
```

## Properties
Volume   259 Å³/cell
Formation energy   -0.359 eV per atom
Size of the total moment   0.00 μB/atom

***

DFT (PBE-GGA) results for a relaxed LiAl4Cu4 crystal.

```
data_LiAl4Cu4
_cell_length_a 8.426
_cell_length_b 8.426
_cell_length_c 4.492
_cell_angle_alpha 90.00
_cell_angle_beta 90.00
_cell_angle_gamma 90.00
_symmetry_space_group_name_H-M 'I 4/m'
_symmetry_Int_Tables_number 87
_symmetry_space_group_name_Hall '-I 4'
loop_
_atom_site_label
_atom_site_type_symbol
_atom_site_fract_x
_atom_site_fract_y
_atom_site_fract_z
Li1 Li 0.000 0.000 0.000
Al1 Al 0.108 0.389 0.000
Cu1 Cu 0.187 0.308 0.500
```

## Properties
Volume   319 Å³/cell
Formation energy   -0.055 eV per atom
Size of the total moment   0.00 μB/atom

***

DFT (PBE-GGA) results for a relaxed LiCuIrF6 crystal.

```
data_LiCuIrF6
_cell_length_a 5.1567
_cell_length_b 5.1567
_cell_length_c 9.1448
_cell_angle_alpha 90.00
_cell_angle_beta 90.00
_cell_angle_gamma 120.00
_symmetry_space_group_name_H-M 'P -3 1 c'
_symmetry_Int_Tables_number 163
_symmetry_space_group_name_Hall '-P 3 2c'
loop_
_atom_site_label
_atom_site_type_symbol
_atom_site_fract_x
_atom_site_fract_y
_atom_site_fract_z
Li1 Li 0.3333 0.6667 0.2500
Cu1 Cu 0.0000 0.0000 0.0000
Ir1 Ir 0.3333 0.6667 0.7500
F1 F 0.0041 0.3431 0.6299
```

## Properties
Volume   211 Å³/cell
Final energy   -4.663 eV per atom
Size of the total moment   0.12 μB/atom

***

DFT (PBE-GGA) results for a relaxed PrNdYTl crystal.

```
data_PrNdYTl
_cell_length_a 7.947
_cell_length_b 7.947
_cell_length_c 7.947
_cell_angle_alpha 90.00
_cell_angle_beta 90.00
_cell_angle_gamma 90.00
_symmetry_space_group_name_H-M 'F -4 3 m'
_symmetry_Int_Tables_number 216
_symmetry_space_group_name_Hall 'F -4 2 3'
loop_
_atom_site_label
_atom_site_type_symbol
_atom_site_fract_x
_atom_site_fract_y
_atom_site_fract_z
Pr1 Pr 0.000 0.000 0.000
Nd1 Nd 0.000 0.000 0.500
Y1 Y 0.250 0.250 0.250
Tl1 Tl 0.250 0.250 0.750
```

## Properties
Volume   502 Å³/cell
Formation energy   -0.059 eV per atom
Size of the total moment   0.31 μB/atom

***

DFT (PBE-GGA) results for a relaxed FeP2Cl8 crystal.

```
data_FeP2Cl8
_cell_length_a 10.270
_cell_length_b 10.137
_cell_length_c 7.559
_cell_angle_alpha 90.00
_cell_angle_beta 94.59
_cell_angle_gamma 90.00
_symmetry_space_group_name_H-M 'C 1 2/m 1'
_symmetry_Int_Tables_number 12
_symmetry_space_group_name_Hall '-C 2y'
loop_
_atom_site_label
_atom_site_type_symbol
_atom_site_fract_x
_atom_site_fract_y
_atom_site_fract_z
Fe1 Fe 0.000 0.000 0.000
P1 P 0.225 0.500 0.624
Cl1 Cl 0.065 0.500 0.772
Cl2 Cl 0.153 0.000 0.818
Cl3 Cl 0.168 0.157 0.260
```

## Properties
Volume   784 Å³/cell
Final energy   -3.695 eV per atom
Size of the total moment   0.36 μB/atom